Here is Ac2SiMoO6 after structural relaxation from Alexandria. Energies are from GGA+U.

Values from the calculation:
For the density, the calculation gives 8.41 Mg/m³. As for the space-group type: P4mm. The value obtained for the calculated total energy is -7.6233 eV per atom.

Cell lengths 4.3850, 5.5101, 5.5101 Å; angles 90.00, 90.00, 90.00 degrees
Positions (direct):
Si 0.5939 0.0000 0.0000
Mo 0.6237 0.5000 0.5000
O 0.1198 0.5000 0.5000
O 0.6824 0.7796 0.2204
O 0.6824 0.7796 0.7796
O 0.2106 0.0000 0.0000
O 0.6824 0.2204 0.7796
O 0.6824 0.2204 0.2204
Ac 0.0845 0.5000 0.0000
Ac 0.0845 0.0000 0.5000